# Y3PuAg3S8

A relaxed Y3PuAg3S8 crystal (PBE, Alexandria via LeMat-Bulk).

```
data_Y3PuAg3S8
_chemical_formula_sum 'Y6 Pu2 Ag6 S16'
_space_group_name_H-M_alt 'C 1 2/m 1'
_space_group_IT_number 12
_cell_length_a 13.0769
_cell_length_b 8.0485
_cell_length_c 7.7020
_cell_angle_alpha 90.00
_cell_angle_beta 122.12
_cell_angle_gamma 90.00
loop_
_space_group_symop_operation_xyz
'x,y,z'
'-x,-y,-z'
'-x,y,-z'
'x,-y,z'
'x+1/2,y+1/2,z'
'-x+1/2,-y+1/2,-z'
'-x+1/2,y+1/2,-z'
'x+1/2,-y+1/2,z'
loop_
_atom_site_label
_atom_site_type_symbol
_atom_site_fract_x
_atom_site_fract_y
_atom_site_fract_z
Y1 Y 0.0000 0.0000 0.0000
Y2 Y 0.2500 0.2500 0.5000
Pu1 Pu 0.0000 0.5000 0.0000
Ag1 Ag 0.0000 0.5000 0.5000
Ag2 Ag 0.2500 0.2500 0.0000
S1 S 0.0027 0.2538 0.2419
S2 S 0.2433 0.5000 0.2503
S3 S 0.2479 0.0000 0.2536
```

Properties
The calculation puts the density of states at the Fermi level at 11.59 states/eV/f.u. The energy relative to the elements, uncorrected comes out at -1.29 eV/atom. The calculation puts the total energy at -6.315 eV/atom. Its spin magnetization is 0.266 μB per atom.